4
Lattice="-3.829 -1.318 0.106 1.846 -5.620 -3.188 1.427 -3.572 7.123" Properties=species:S:1:pos:R:3 comment="K2SrCa SCAN single point on PBEsol structure" dos_at_fermi_per_ev_atom=0.922 vol_a3_per_fu=220.36 magnetic_moment_mub_per_cell=0.2 final_energy_ev_per_atom=-11.9737 pbc="T T T"
Ca -0.279 -5.255 2.021
Sr -0.992 -3.469 -1.541
K 0.366 -0.916 1.827
K 1.061 -2.655 5.296